Entry 1:
Material: RbMoAs2Se
Method: DFT, GGA-PBE
State: relaxed

Its space group is No. 123. The calculation puts the formation energy from raw total energies at -87 meV per atom.

abc: 4.9486 4.9486 5.2467
angles: 90.00 90.00 90.00
With the nearest neighbours (Å) after each atom.
Fractional positions:
Rb 0.0000 0.0000 0.0000  4 Se 3.50, 8 As 3.61
Mo 0.5000 0.5000 0.5000  4 As 2.47, 2 Se 2.62
As 0.0000 0.5000 0.5000  2 Mo 2.47
As 0.5000 0.0000 0.5000  2 Mo 2.47
Se 0.5000 0.5000 0.0000  2 Mo 2.62

---

Entry 2:
Material: RbMoAsSe2
Method: DFT, GGA-PBE
State: relaxed

Its space group is No. 123. The calculation puts the formation energy from raw total energies at -235 meV per atom.

abc: 5.1236 5.1236 4.9258
angles: 90.00 90.00 90.00
With the nearest neighbours (Å) after each atom.
Fractional positions:
Rb 0.0000 0.0000 0.0000  8 Se 3.55, 4 As 3.62
Mo 0.5000 0.5000 0.5000  2 As 2.46, 4 Se 2.56
As 0.5000 0.5000 0.0000  2 Mo 2.46
Se 0.0000 0.5000 0.5000  2 Mo 2.56
Se 0.5000 0.0000 0.5000  2 Mo 2.56

---

Entry 3:
Material: RbMoAsSe2
Method: DFT, GGA-PBE
State: relaxed

Its space group is No. 123. The calculation puts the formation energy from raw total energies at 2289 meV per atom.

abc: 5.4733 5.4733 5.3247
angles: 90.00 90.00 90.00
With the nearest neighbours (Å) after each atom.
Fractional positions:
Rb 0.0000 0.0000 0.0000  2 As 2.66, 4 Se 2.74
Mo 0.5000 0.5000 0.5000  8 Se 3.82, 4 As 3.87
As 0.0000 0.0000 0.5000  2 Rb 2.66
Se 0.0000 0.5000 0.0000  2 Rb 2.74
Se 0.5000 0.0000 0.0000  2 Rb 2.74

---

Entry 4:
Material: RbMoAs2Se
Method: DFT, GGA-PBE
State: relaxed

Its space group is No. 123. The calculation puts the formation energy from raw total energies at 2433 meV per atom.

abc: 5.2772 5.2772 5.4341
angles: 90.00 90.00 90.00
With the nearest neighbours (Å) after each atom.
Fractional positions:
Rb 0.0000 0.0000 0.0000  4 As 2.64, 2 Se 2.72
Mo 0.5000 0.5000 0.5000  4 Se 3.73, 8 As 3.79
As 0.0000 0.5000 0.0000  2 Rb 2.64
As 0.5000 0.0000 0.0000  2 Rb 2.64
Se 0.0000 0.0000 0.5000  2 Rb 2.72

---

Entry 5:
Material: RbTaMoAs2
Method: DFT, GGA-PBE
State: relaxed

Its space group is No. 123. For the calculated formation energy, the calculation gives 1.669 eV/atom.

abc: 4.9136 4.9136 5.3718
angles: 90.00 90.00 90.00
With the nearest neighbours (Å) after each atom.
Fractional positions:
Rb 0.0000 0.0000 0.0000  2 Mo 2.69
Ta 0.5000 0.5000 0.0000  4 Rb 3.47, 8 As 3.64
Mo 0.0000 0.0000 0.5000  4 As 2.46, 2 Rb 2.69
As 0.0000 0.5000 0.5000  2 Mo 2.46
As 0.5000 0.0000 0.5000  2 Mo 2.46

---

Entry 6:
Material: Re2MoAs
Method: DFT, GGA-PBE
State: relaxed

Its space group is No. 6. For the calculated formation energy, the calculation gives 0.195 eV/atom.

abc: 2.8494 4.0327 5.5148
angles: 90.00 104.73 90.00
With the nearest neighbours (Å) after each atom.
Fractional positions:
Re 0.0000 0.0000 0.0000  2 As 2.57, 1 Mo 2.68, 6 Re 2.72-2.85
Re 0.3836 0.5000 0.7789  1 As 2.55, 6 Re 2.72-2.85
Mo 0.7471 0.0000 0.4977  5 Re 2.68-2.89, 4 As 2.68-2.69, 2 Mo 2.85
As 0.1491 0.5000 0.3002  3 Re 2.55-2.57, 4 Mo 2.68-2.69, 2 As 2.85

---

Entry 7:
Material: ReMo2As
Method: DFT, GGA-PBE
State: relaxed

Its space group is No. 35. For the calculated formation energy, the calculation gives 0.349 eV/atom.

abc: 2.7696 2.7696 8.9054
angles: 90.00 90.00 110.96
With the nearest neighbours (Å) after each atom.
Fractional positions:
Re 0.0000 0.0000 0.0000  2 Mo 2.64, 4 Re 2.77, 2 As 2.82
Mo 0.0000 0.0000 0.4882  2 As 2.71, 6 Mo 2.72-2.77
Mo 0.5000 0.5000 0.2388  2 Re 2.64, 6 Mo 2.72-2.77
As 0.5000 0.5000 0.7366  2 Mo 2.71, 4 As 2.77, 2 Re 2.82

---

Entry 8:
Material: ReMo2As
Method: DFT, GGA-PBE
State: relaxed

Its space group is No. 12. For the calculated formation energy, the calculation gives 0.311 eV/atom.

abc: 4.9874 4.9874 2.8421
angles: 99.69 99.69 111.89
With the nearest neighbours (Å) after each atom.
Fractional positions:
Re 0.0000 0.0000 0.0000  4 Mo 2.65, 2 As 2.79, 2 Re 2.84
Mo 0.0000 0.5000 0.5000  2 As 2.65, 2 Re 2.65, 4 Mo 2.79-2.84
Mo 0.5000 0.0000 0.5000  2 As 2.65, 2 Re 2.65, 4 Mo 2.79-2.84
As 0.5000 0.5000 0.0000  4 Mo 2.65, 2 Re 2.79, 2 As 2.84

---

Entry 9:
Material: Re2MoAs
Method: DFT, GGA-PBE
State: relaxed

Its space group is No. 119. For the calculated formation energy, the calculation gives 0.395 eV/atom.

abc: 5.0146 5.0146 5.0146
angles: 135.78 135.78 64.32
With the nearest neighbours (Å) after each atom.
Fractional positions:
Re 0.0000 0.0000 0.0000  4 Mo 2.67, 4 As 2.84, 4 Re 2.84
Re 0.7500 0.2500 0.5000  4 As 2.67, 4 Mo 2.84, 4 Re 2.84
Mo 0.5000 0.5000 0.0000  8 Re 2.67-2.84, 4 As 2.84
As 0.2500 0.7500 0.5000  8 Re 2.67-2.84, 4 Mo 2.84

---

Entry 10:
Material: Re2MoAs
Method: DFT, GGA-PBE
State: relaxed

Its space group is No. 25. For the calculated formation energy, the calculation gives 0.240 eV/atom.

abc: 2.9041 4.0857 5.1544
angles: 90.00 90.00 90.00
With the nearest neighbours (Å) after each atom.
Fractional positions:
Re 0.0000 0.0000 0.0000  2 As 2.53-2.62, 4 Re 2.75
Re 0.5000 0.5000 0.2191  2 Mo 2.57-2.59, 4 Re 2.75, 4 As 2.87
Mo 0.5000 0.5000 0.7172  2 Re 2.57-2.59, 4 As 2.76
As 0.0000 0.0000 0.4908  2 Re 2.53-2.62, 4 Mo 2.76

---

Entry 11:
Material: ReMo2As
Method: DFT, GGA-PBE
State: relaxed

Its space group is No. 119. For the calculated formation energy, the calculation gives 0.265 eV/atom.

abc: 5.1435 5.1435 5.1435
angles: 137.41 137.41 61.81
With the nearest neighbours (Å) after each atom.
Fractional positions:
Re 0.0000 0.0000 0.0000  8 Mo 2.64-2.89, 4 As 2.89
Mo 0.5000 0.5000 0.0000  4 Re 2.64, 4 As 2.89, 4 Mo 2.89
Mo 0.7500 0.2500 0.5000  4 As 2.64, 4 Mo 2.89, 4 Re 2.89
As 0.2500 0.7500 0.5000  8 Mo 2.64-2.89, 4 Re 2.89

---

Entry 12:
Material: ReMoAs
Method: DFT, GGA-PBE
State: relaxed

Its space group is No. 166. For the calculated formation energy, the calculation gives 0.363 eV/atom.

abc: 7.1882 7.1882 7.1882
angles: 34.37 34.37 34.37
With the nearest neighbours (Å) after each atom.
Fractional positions:
Re 0.1405 0.1405 0.1405  3 Mo 2.59, 3 Re 2.67
Re 0.8595 0.8595 0.8595  3 Mo 2.59, 3 Re 2.67
Mo 0.4330 0.4330 0.4330  3 Re 2.59, 4 As 2.71-2.89, 1 Mo 2.72
Mo 0.5670 0.5670 0.5670  3 Re 2.59, 4 As 2.71-2.89, 1 Mo 2.72
As 0.2904 0.2904 0.2904  4 Mo 2.71-2.89, 3 As 3.01
As 0.7096 0.7096 0.7096  4 Mo 2.71-2.89, 3 As 3.01

---

Entry 13:
Material: Re2MoAs
Method: DFT, GGA-PBE
State: relaxed

Its space group is No. 44. For the calculated formation energy, the calculation gives 0.189 eV/atom.

abc: 5.1862 5.1862 5.1862
angles: 146.15 128.73 62.86
With the nearest neighbours (Å) after each atom.
Fractional positions:
Re 0.0000 0.0000 0.0000  4 As 2.71, 4 Re 2.76-3.02, 4 Mo 2.89-2.98
Re 0.7385 0.2385 0.5000  2 As 2.53, 4 Mo 2.73, 2 Re 2.76
Mo 0.2787 0.7787 0.5000  2 As 2.54, 4 Re 2.73
As 0.5092 0.5092 0.0000  6 Re 2.53-2.71, 2 Mo 2.54

---

Entry 14:
Material: ReMo4As
Method: DFT, GGA-PBE
State: relaxed

Its space group is No. 216. For the calculated formation energy, the calculation gives 0.593 eV/atom.

abc: 5.1886 5.1886 5.1886
angles: 60.00 60.00 60.00
With the nearest neighbours (Å) after each atom.
Fractional positions:
Re 0.0000 0.0000 0.0000  12 Mo 3.04, 4 As 3.18
Mo 0.3759 0.3759 0.3759  6 Mo 2.58-2.61
Mo 0.3759 0.3759 0.8724  6 Mo 2.58-2.61
Mo 0.3759 0.8724 0.3759  6 Mo 2.58-2.61
Mo 0.8724 0.3759 0.3759  6 Mo 2.58-2.61
As 0.7500 0.7500 0.7500  12 Mo 3.04, 4 Re 3.18

---

Entry 15:
Material: ReMoAs
Method: DFT, GGA-PBE
State: relaxed

Its space group is No. 107. For the calculated formation energy, the calculation gives 0.101 eV/atom.

abc: 5.4439 5.4439 5.4439
angles: 148.02 148.02 45.85
With the nearest neighbours (Å) after each atom.
Fractional positions:
Re 0.0000 0.0000 0.0000  4 As 2.61, 4 Mo 2.79
Mo 0.6810 0.6810 0.0000  4 As 2.70, 4 Re 2.79, 4 Mo 3.00
As 0.3480 0.3480 0.0000  4 Re 2.61, 4 Mo 2.70

---

Entry 16:
Material: Re2MoAs
Method: DFT, GGA-PBE
State: relaxed

Its space group is No. 8. For the calculated formation energy, the calculation gives 0.201 eV/atom.

abc: 4.8274 4.8274 4.6246
angles: 104.97 104.97 36.41
With the nearest neighbours (Å) after each atom.
Fractional positions:
Re 0.0000 0.0000 0.0000  3 Re 2.59-2.63, 4 As 2.67-2.85
Re 0.7382 0.7382 0.1317  3 Re 2.59-2.63, 4 Mo 2.74-2.78, 2 As 2.84
Mo 0.2342 0.2342 0.6242  3 As 2.62-2.64, 4 Re 2.74-2.78
As 0.4891 0.4891 0.4713  3 Mo 2.62-2.64, 6 Re 2.67-2.85

---

Entry 17:
Material: ReMo2As
Method: DFT, GGA-PBE
State: relaxed

Its space group is No. 71. For the calculated formation energy, the calculation gives 0.125 eV/atom.

abc: 5.1704 5.1704 5.1704
angles: 144.14 130.89 62.28
With the nearest neighbours (Å) after each atom.
Fractional positions:
Re 0.0000 0.0000 0.0000  4 As 2.67, 4 Mo 2.78
Mo 0.2576 0.7576 0.5000  2 As 2.67, 4 Mo 2.68, 2 Re 2.78
Mo 0.7424 0.2424 0.5000  2 As 2.67, 4 Mo 2.68, 2 Re 2.78
As 0.5000 0.5000 0.0000  4 Mo 2.67, 4 Re 2.67

---

Entry 18:
Material: ReMoAs
Method: DFT, GGA-PBE
State: relaxed

Its space group is No. 156. For the calculated formation energy, the calculation gives 0.206 eV/atom.

abc: 2.8891 2.8891 6.4684
angles: 90.00 90.00 120.00
With the nearest neighbours (Å) after each atom.
Fractional positions:
Re 0.0000 0.0000 0.0000  3 Mo 2.69, 3 As 2.73, 6 Re 2.89
Mo 0.6667 0.3333 0.6747  3 Re 2.69, 3 As 2.76, 6 Mo 2.89
As 0.3333 0.6667 0.3340  3 Re 2.73, 3 Mo 2.76, 6 As 2.89

---

Entry 19:
Material: Re2MoAs
Method: DFT, GGA-PBE
State: relaxed

Its space group is No. 71. For the calculated formation energy, the calculation gives 0.148 eV/atom.

abc: 5.2396 5.2396 5.2396
angles: 146.88 129.51 61.72
With the nearest neighbours (Å) after each atom.
Fractional positions:
Re 0.2258 0.2258 0.0000  2 As 2.52, 4 Re 2.72
Re 0.7742 0.7742 0.0000  2 As 2.52, 4 Re 2.72
Mo 0.5000 0.0000 0.5000  4 As 2.69, 4 Re 2.88, 2 Mo 2.99
As 0.0000 0.5000 0.5000  4 Re 2.52, 4 Mo 2.69

---

Entry 20:
Material: Re2MoAs
Method: DFT, GGA-PBE
State: relaxed

Its space group is No. 216. For the calculated formation energy, the calculation gives 0.388 eV/atom.

abc: 4.4262 4.4262 4.4262
angles: 60.00 60.00 60.00
With the nearest neighbours (Å) after each atom.
Fractional positions:
Re 0.0000 0.0000 0.0000  4 Mo 2.71, 4 Re 2.71
Re 0.2500 0.2500 0.2500  4 As 2.71, 4 Re 2.71
Mo 0.7500 0.7500 0.7500  4 As 2.71, 4 Re 2.71
As 0.5000 0.5000 0.5000  4 Mo 2.71, 4 Re 2.71